(1)
{"formula": "TaTi3H4", "functional": "PBE", "state": "relaxed", "lattice": [[4.814, 0.000, 0.000], [0.000, 4.800, 0.000], [0.000, 0.000, 6.769]], "species": ["H", "H", "H", "H", "H", "H", "H", "H", "Ti", "Ti", "Ti", "Ti", "Ti", "Ti", "Ta", "Ta"], "fractional_positions": [[0.130, 0.373, 0.747], [0.630, 0.627, 0.753], [0.130, 0.373, 0.253], [0.127, 0.871, 0.000], [0.125, 0.872, 0.500], [0.627, 0.129, 0.500], [0.630, 0.627, 0.247], [0.625, 0.128, 0.000], [0.502, 0.254, 0.750], [0.000, 0.246, 0.500], [0.002, 0.746, 0.750], [0.500, 0.754, 0.000], [0.002, 0.746, 0.250], [0.502, 0.254, 0.250], [0.001, 0.250, 0.000], [0.501, 0.750, 0.500]], "energy_ev_per_atom": -6.4218, "vol_a3_per_atom": 9.8}

***

(2)
{"formula": "Ta3Ti2H8", "functional": "PBE", "state": "relaxed", "lattice": [[-3.427, 3.502, 0.500], [-2.097, -1.333, -5.041], [-0.723, -2.995, 4.225]], "species": ["Ta", "Ta", "Ta", "H", "H", "H", "H", "H", "H", "H", "H", "Ti", "Ti"], "fractional_positions": [[0.000, 0.256, 0.000], [0.500, 0.000, 0.000], [0.000, 0.744, 0.000], [0.620, 0.063, 0.705], [0.984, 0.650, 0.299], [0.016, 0.350, 0.701], [0.380, 0.358, 0.295], [0.895, 0.126, 0.253], [0.380, 0.937, 0.295], [0.620, 0.642, 0.705], [0.105, 0.874, 0.747], [0.393, 0.331, 0.661], [0.607, 0.669, 0.339]], "energy_ev_per_atom": -6.1434, "vol_a3_per_atom": 9.0}

***

(3)
{"formula": "TaTi2H8", "functional": "PBE", "state": "relaxed", "lattice": [[3.040, 0.000, -0.925], [-0.673, 3.893, -2.211], [-0.003, 0.460, 5.447]], "species": ["Ta", "H", "H", "H", "H", "H", "H", "H", "H", "Ti", "Ti"], "fractional_positions": [[0.500, 0.000, 0.000], [0.840, 0.840, 0.681], [0.661, 0.893, 0.322], [0.339, 0.107, 0.678], [0.661, 0.429, 0.322], [0.339, 0.571, 0.678], [0.000, 0.276, 0.000], [0.000, 0.724, 0.000], [0.160, 0.160, 0.319], [0.829, 0.329, 0.658], [0.171, 0.671, 0.342]], "energy_ev_per_atom": -5.1289, "vol_a3_per_atom": 6.2}

***

(4)
{"formula": "Ta2TiH2", "functional": "PBE", "state": "relaxed", "lattice": [[-0.316, 3.860, 4.083], [-4.406, 1.561, 0.993], [-1.999, -1.686, 4.919]], "species": ["H", "H", "H", "H", "Ta", "Ta", "Ta", "Ta", "Ti", "Ti"], "fractional_positions": [[0.807, 0.593, 0.996], [0.196, 0.571, 0.386], [0.804, 0.429, 0.614], [0.193, 0.407, 0.004], [0.420, 0.684, 0.739], [0.580, 0.316, 0.261], [0.254, 0.985, 0.257], [0.746, 0.015, 0.743], [0.912, 0.677, 0.237], [0.088, 0.323, 0.763]], "energy_ev_per_atom": -7.8562, "vol_a3_per_atom": 11.6}

***

(5)
{"formula": "Ta3TiH", "functional": "PBE", "state": "relaxed", "lattice": [[-1.827, 1.150, 3.629], [2.065, -3.082, 2.016], [3.197, 2.648, 0.771]], "species": ["H", "Ta", "Ta", "Ta", "Ti"], "fractional_positions": [[0.000, 0.000, 0.000], [0.000, 0.000, 0.500], [0.000, 0.500, 0.000], [0.500, 0.000, 0.000], [0.500, 0.500, 0.500]], "energy_ev_per_atom": -9.2570, "vol_a3_per_atom": 15.1}

***

(6)
{"formula": "Ta2Ti5H12", "functional": "PBE", "state": "relaxed", "lattice": [[5.480, 0.000, 0.000], [-2.740, 5.508, -0.404], [0.000, -2.444, 5.257]], "species": ["Ti", "Ti", "Ti", "Ti", "Ti", "Ta", "Ta", "H", "H", "H", "H", "H", "H", "H", "H", "H", "H", "H", "H"], "fractional_positions": [[0.250, 0.501, 0.566], [0.279, 0.558, 0.119], [0.750, 0.499, 0.434], [0.721, 0.442, 0.881], [0.000, 0.000, 0.500], [0.248, 0.000, 0.000], [0.752, 0.000, 0.000], [0.897, 0.390, 0.116], [0.492, 0.390, 0.116], [0.475, 0.949, 0.215], [0.508, 0.610, 0.884], [0.851, 0.272, 0.535], [0.525, 0.051, 0.785], [0.149, 0.728, 0.465], [0.103, 0.610, 0.884], [0.420, 0.272, 0.535], [0.920, 0.840, 0.120], [0.080, 0.160, 0.880], [0.580, 0.728, 0.465]], "energy_ev_per_atom": -5.6850, "vol_a3_per_atom": 8.1}

***

(7)
{"formula": "TaTi3H", "functional": "PBE", "state": "relaxed", "lattice": [[-3.457, -0.017, 4.656], [-3.199, -5.344, 2.386], [1.831, -1.029, 4.953]], "species": ["H", "H", "Ti", "Ti", "Ti", "Ti", "Ti", "Ti", "Ta", "Ta"], "fractional_positions": [[0.078, 0.396, 0.178], [0.844, 0.374, 0.667], [0.494, 0.333, 0.929], [0.662, 0.630, 0.432], [0.182, 0.634, 0.420], [0.991, 0.338, 0.924], [0.987, 0.837, 0.929], [0.182, 0.102, 0.419], [0.667, 0.121, 0.421], [0.486, 0.843, 0.916]], "energy_ev_per_atom": -7.8565, "vol_a3_per_atom": 14.4}

***

(8)
{"formula": "Ta3TiH8", "functional": "PBE", "state": "relaxed", "lattice": [[1.557, 1.074, -4.081], [3.416, -2.876, 0.547], [-4.958, -2.377, -0.038]], "species": ["H", "H", "H", "H", "H", "H", "H", "H", "Ta", "Ta", "Ta", "Ti"], "fractional_positions": [[0.370, 0.876, 0.247], [0.876, 0.370, 0.247], [0.876, 0.876, 0.247], [0.630, 0.630, 0.753], [0.370, 0.370, 0.247], [0.630, 0.124, 0.753], [0.124, 0.124, 0.753], [0.124, 0.630, 0.753], [0.250, 0.750, 0.500], [0.500, 0.500, 0.000], [0.750, 0.250, 0.500], [0.000, 0.000, 0.000]], "energy_ev_per_atom": -6.0878, "vol_a3_per_atom": 7.6}

***

(9)
{"formula": "TaTi2H", "functional": "PBE", "state": "relaxed", "lattice": [[-0.280, 2.724, -0.852], [-2.599, 1.206, -0.115], [-0.175, 3.705, 7.081]], "species": ["Ta", "Ti", "Ti", "H"], "fractional_positions": [[0.000, 0.000, 0.000], [0.113, 0.113, 0.660], [0.887, 0.887, 0.340], [0.500, 0.500, 0.500]], "energy_ev_per_atom": -7.6346, "vol_a3_per_atom": 13.9}

***

(10)
{"formula": "TaTi2H2", "functional": "PBE", "state": "relaxed", "lattice": [[-4.279, 2.441, -2.663], [-5.331, -1.516, -0.202], [-4.033, 3.043, 2.812]], "species": ["H", "H", "H", "H", "Ti", "Ti", "Ti", "Ti", "Ta", "Ta"], "fractional_positions": [[0.607, 0.111, 0.993], [0.845, 0.079, 0.384], [0.393, 0.889, 0.007], [0.155, 0.921, 0.616], [0.181, 0.173, 0.240], [0.819, 0.827, 0.760], [0.499, 0.524, 0.736], [0.501, 0.476, 0.264], [0.155, 0.185, 0.742], [0.845, 0.815, 0.258]], "energy_ev_per_atom": -7.0763, "vol_a3_per_atom": 11.4}

***

(11)
{"formula": "TaTi2H", "functional": "PBE", "state": "relaxed", "lattice": [[0.072, 0.250, 4.369], [-3.581, 1.257, 2.180], [-2.235, -2.902, 2.395]], "species": ["Ti", "Ti", "Ta", "H"], "fractional_positions": [[0.750, 0.750, 0.750], [0.250, 0.250, 0.250], [0.500, 0.500, 0.500], [0.000, 0.000, 0.000]], "energy_ev_per_atom": -7.0045, "vol_a3_per_atom": 14.8}

***

(12)
{"formula": "TaTi3H7", "functional": "PBE", "state": "relaxed", "lattice": [[5.101, 0.450, 0.000], [-1.335, 4.943, 0.000], [0.000, 0.000, 6.557]], "species": ["H", "H", "H", "H", "H", "H", "H", "H", "H", "H", "H", "H", "H", "H", "Ti", "Ti", "Ti", "Ti", "Ti", "Ti", "Ta", "Ta"], "fractional_positions": [[0.131, 0.872, 0.250], [0.377, 0.123, 0.496], [0.877, 0.623, 0.504], [0.869, 0.128, 0.750], [0.872, 0.131, 0.250], [0.123, 0.377, 0.496], [0.623, 0.877, 0.996], [0.123, 0.377, 0.004], [0.352, 0.352, 0.750], [0.877, 0.623, 0.996], [0.648, 0.648, 0.250], [0.128, 0.869, 0.750], [0.377, 0.123, 0.004], [0.623, 0.877, 0.504], [0.503, 0.000, 0.250], [0.497, 0.000, 0.750], [0.000, 0.497, 0.750], [0.000, 0.000, 0.500], [0.000, 0.503, 0.250], [0.000, 0.000, 0.000], [0.500, 0.500, 0.500], [0.500, 0.500, 0.000]], "energy_ev_per_atom": -5.7509, "vol_a3_per_atom": 7.7}

***

(13)
{"formula": "TaTi5H4", "functional": "PBE", "state": "relaxed", "lattice": [[-0.964, 1.835, -1.887], [1.936, -3.212, -4.111], [-6.166, -3.580, 1.751]], "species": ["Ti", "Ti", "Ti", "Ti", "Ti", "H", "H", "H", "H", "Ta"], "fractional_positions": [[0.169, 0.830, 0.338], [0.173, 0.342, 0.346], [0.831, 0.170, 0.662], [0.827, 0.658, 0.654], [0.500, 0.500, 0.000], [0.692, 0.095, 0.384], [0.028, 0.762, 0.055], [0.308, 0.905, 0.616], [0.972, 0.238, 0.945], [0.500, 0.000, 0.000]], "energy_ev_per_atom": -6.6832, "vol_a3_per_atom": 11.0}

***

(14)
{"formula": "TaTiH3", "functional": "PBE", "state": "relaxed", "lattice": [[-2.580, -1.011, 2.057], [2.088, -2.315, 1.480], [0.946, 2.351, 2.343]], "species": ["H", "H", "H", "Ti", "Ta"], "fractional_positions": [[0.500, 0.000, 0.000], [0.000, 0.000, 0.500], [0.000, 0.500, 0.000], [0.000, 0.000, 0.000], [0.500, 0.500, 0.500]], "energy_ev_per_atom": -5.9300, "vol_a3_per_atom": 8.2}

***

(15)
{"formula": "Ta3TiH", "functional": "PBE", "state": "relaxed", "lattice": [[4.704, 0.000, 0.000], [0.000, 4.704, 0.000], [0.000, 0.000, 4.704]], "species": ["Ta", "Ta", "Ta", "Ti", "H"], "fractional_positions": [[0.000, 0.000, 0.500], [0.000, 0.500, 0.000], [0.500, 0.000, 0.000], [0.000, 0.000, 0.000], [0.500, 0.500, 0.500]], "energy_ev_per_atom": -7.1590, "vol_a3_per_atom": 20.8}

***

(16)
{"formula": "TaTi2H", "functional": "PBE", "state": "relaxed", "lattice": [[2.766, 0.000, 0.000], [0.000, 2.766, 0.000], [0.000, 0.000, 7.126]], "species": ["Ti", "Ti", "H", "Ta"], "fractional_positions": [[0.000, 0.000, 0.183], [0.000, 0.000, 0.817], [0.500, 0.500, 0.000], [0.500, 0.500, 0.500]], "energy_ev_per_atom": -7.6000, "vol_a3_per_atom": 13.6}

***

(17)
{"formula": "Ta3Ti2H4", "functional": "PBE", "state": "relaxed", "lattice": [[2.785, 0.000, 0.000], [-1.393, 4.859, -0.107], [0.000, -2.253, 7.186]], "species": ["Ta", "Ta", "Ta", "H", "H", "H", "H", "Ti", "Ti"], "fractional_positions": [[0.395, 0.791, 0.603], [0.605, 0.209, 0.397], [0.000, 0.000, 0.000], [0.659, 0.319, 0.046], [0.087, 0.173, 0.611], [0.341, 0.681, 0.954], [0.913, 0.827, 0.389], [0.299, 0.597, 0.196], [0.701, 0.403, 0.804]], "energy_ev_per_atom": -7.2653, "vol_a3_per_atom": 10.7}

***

(18)
{"formula": "TaTi2TlH", "functional": "PBE", "state": "relaxed", "lattice": [[4.374, 0.000, 0.000], [0.000, 4.374, 0.000], [0.000, 0.000, 3.902]], "species": ["Ti", "Ti", "Tl", "H", "Ta"], "fractional_positions": [[0.000, 0.500, 0.000], [0.500, 0.000, 0.000], [0.500, 0.500, 0.500], [0.000, 0.000, 0.000], [0.000, 0.000, 0.500]], "energy_ev_per_atom": -6.7255, "vol_a3_per_atom": 14.9}

***

(19)
{"formula": "TaTiV2H", "functional": "PBE", "state": "relaxed", "lattice": [[4.272, 0.000, 0.000], [0.000, 4.272, 0.000], [0.000, 0.000, 3.531]], "species": ["V", "V", "Ti", "Ta", "H"], "fractional_positions": [[0.000, 0.500, 0.000], [0.500, 0.000, 0.000], [0.000, 0.000, 0.500], [0.500, 0.500, 0.500], [0.000, 0.000, 0.000]], "energy_ev_per_atom": -8.2474, "vol_a3_per_atom": 12.9}

***

(20)
{"formula": "TaTi2HW", "functional": "PBE", "state": "relaxed", "lattice": [[-3.143, 2.067, -0.975], [-1.803, -1.225, 3.217], [1.674, 3.642, 2.325]], "species": ["W", "Ti", "Ti", "H", "Ta"], "fractional_positions": [[0.500, 0.500, 0.500], [0.500, 0.000, 0.000], [0.000, 0.500, 0.000], [0.000, 0.000, 0.000], [0.000, 0.000, 0.500]], "energy_ev_per_atom": -8.7934, "vol_a3_per_atom": 14.0}